a | Compound: CrPd2Br
Source: Alexandria
Functional: PBE
Structure: optimized geometry

magnetic moment	4.08	μB/cell
density of states at the Fermi level	1.21	states/eV/atom

Unit cell a=4.604 b=4.604 c=4.604 alpha=60.00 beta=60.00 gamma=60.00
Atoms (fractional coordinates):
Cr 0.000 0.000 0.000
Br 0.500 0.500 0.500
Pd 0.250 0.250 0.250
Pd 0.750 0.750 0.750

***

b | Compound: CrPd2Br
Source: Alexandria
Functional: PBE
Structure: optimized geometry

magnetic moment	0.17	μB/cell
density of states at the Fermi level	2.04	states/eV/atom

Unit cell a=7.240 b=7.240 c=5.765 alpha=51.10 beta=51.10 gamma=90.00
Atoms (fractional coordinates):
Cr 0.500 0.500 0.000
Cr 0.250 0.750 0.500
Br 0.000 0.000 0.000
Br 0.750 0.250 0.500
Pd 0.599 0.125 0.250
Pd 0.151 0.625 0.250
Pd 0.375 0.401 0.750
Pd 0.875 0.849 0.750

***

a takes first place; second place is 280 meV per atom up.

***

a | Compound: CrSnPdBr2
Source: Alexandria
Functional: PBE
Structure: optimized geometry

magnetic moment	5.25	μB/cell
density of states at the Fermi level	0.92	states/eV/atom

Unit cell a=5.191 b=5.275 c=5.191 alpha=90.00 beta=90.00 gamma=90.00
Atoms (fractional coordinates):
Cr 0.500 0.500 0.500
Br 0.000 0.000 0.500
Br 0.500 0.000 0.000
Sn 0.000 0.500 0.000
Pd 0.000 0.000 0.000

***

b | Compound: CrSnPdBr2
Source: Alexandria
Functional: PBE
Structure: optimized geometry

magnetic moment	0.00	μB/cell
density of states at the Fermi level	1.47	states/eV/atom

Unit cell a=4.650 b=5.612 c=4.650 alpha=90.00 beta=90.00 gamma=90.00
Atoms (fractional coordinates):
Cr 0.000 0.000 0.000
Br 0.000 0.000 0.500
Br 0.500 0.000 0.000
Sn 0.000 0.500 0.000
Pd 0.500 0.500 0.500

***

a takes first place; second place is 136 meV per atom up.

***

a | Compound: CrPtBr2
Source: Alexandria
Functional: PBE
Structure: optimized geometry

magnetic moment	2.90	μB/cell
density of states at the Fermi level	0.60	states/eV/atom

Unit cell a=8.665 b=8.665 c=8.665 alpha=22.19 beta=22.19 gamma=22.19
Atoms (fractional coordinates):
Br 0.983 0.983 0.983
Br 0.517 0.517 0.517
Cr 0.250 0.250 0.250
Pt 0.750 0.750 0.750

***

b | Compound: CrPtBr2
Source: Alexandria
Functional: PBE
Structure: optimized geometry

magnetic moment	4.48	μB/cell
density of states at the Fermi level	0.59	states/eV/atom

Unit cell a=4.127 b=4.127 c=6.824 alpha=90.00 beta=90.00 gamma=122.05
Atoms (fractional coordinates):
Br 0.000 0.000 0.999
Br 0.000 0.000 0.501
Cr 0.500 0.500 0.250
Pt 0.500 0.500 0.750

***

a takes first place; second place is 52 meV per atom up.

***

a | Compound: CrPtBr2
Source: Alexandria
Functional: PBE
Structure: optimized geometry

magnetic moment	0.05	μB/cell
density of states at the Fermi level	1.39	states/eV/atom

Unit cell a=4.680 b=4.680 c=4.680 alpha=60.00 beta=60.00 gamma=60.00
Atoms (fractional coordinates):
Cr 0.000 0.000 0.000
Br 0.250 0.250 0.250
Br 0.750 0.750 0.750
Pt 0.500 0.500 0.500

***

b | Compound: CrPtBr2
Source: Alexandria
Functional: PBE
Structure: optimized geometry

magnetic moment	4.48	μB/cell
density of states at the Fermi level	0.66	states/eV/atom

Unit cell a=5.267 b=5.267 c=5.267 alpha=136.40 beta=100.73 gamma=95.14
Atoms (fractional coordinates):
Br 0.003 0.003 0.000
Br 0.497 0.497 0.000
Cr 0.750 0.250 0.500
Pt 0.250 0.750 0.500

***

c | Compound: CrPtBr2
Source: Alexandria
Functional: PBE
Structure: optimized geometry

magnetic moment	4.51	μB/cell
density of states at the Fermi level	0.36	states/eV/atom

Unit cell a=6.838 b=6.838 c=6.838 alpha=148.16 beta=148.16 gamma=45.65
Atoms (fractional coordinates):
Br 0.000 0.000 0.000
Br 0.250 0.750 0.500
Cr 0.500 0.500 0.000
Pt 0.750 0.250 0.500

***

c takes first place; second place is 58 meV per atom up.

***

a | Compound: CrPtBr2
Source: Alexandria
Functional: PBE
Structure: optimized geometry

magnetic moment	4.00	μB/cell
density of states at the Fermi level	1.02	states/eV/atom

Unit cell a=8.195 b=8.195 c=8.195 alpha=26.65 beta=26.65 gamma=26.65
Atoms (fractional coordinates):
Cr 0.500 0.500 0.500
Br 0.898 0.898 0.898
Br 0.102 0.102 0.102
Pt 0.000 0.000 0.000

***

b | Compound: CrPtBr2
Source: Alexandria
Functional: PBE
Structure: optimized geometry

magnetic moment	3.89	μB/cell
density of states at the Fermi level	1.05	states/eV/atom

Unit cell a=4.839 b=4.839 c=4.839 alpha=60.00 beta=60.00 gamma=60.00
Atoms (fractional coordinates):
Br 0.000 0.000 0.000
Br 0.250 0.250 0.250
Cr 0.500 0.500 0.500
Pt 0.750 0.750 0.750

***

c | Compound: CrPtBr2
Source: Alexandria
Functional: PBE
Structure: optimized geometry

magnetic moment	4.13	μB/cell
density of states at the Fermi level	0.68	states/eV/atom

Unit cell a=4.051 b=4.825 c=4.805 alpha=90.10 beta=90.00 gamma=90.00
Atoms (fractional coordinates):
Br 0.000 0.998 0.998
Br 0.000 0.502 0.502
Cr 0.500 0.250 0.250
Pt 0.500 0.750 0.750

***

a takes first place; second place is 114 meV per atom up.

***

a | Compound: CrPtBr2
Source: Alexandria
Functional: PBE
Structure: optimized geometry

magnetic moment	8.00	μB/cell
density of states at the Fermi level	0.90	states/eV/atom

Unit cell a=4.970 b=4.970 c=8.441 alpha=72.88 beta=72.88 gamma=90.00
Atoms (fractional coordinates):
Cr 0.500 0.500 0.000
Cr 0.250 0.750 0.500
Br 0.625 0.125 0.250
Br 0.125 0.625 0.250
Br 0.375 0.375 0.750
Br 0.875 0.875 0.750
Pt 0.000 0.000 0.000
Pt 0.750 0.250 0.500

***

b | Compound: CrPtBr2
Source: Alexandria
Functional: PBE
Structure: optimized geometry

magnetic moment	4.22	μB/cell
density of states at the Fermi level	0.83	states/eV/atom

Unit cell a=7.731 b=7.731 c=7.731 alpha=153.64 beta=150.73 gamma=39.79
Atoms (fractional coordinates):
Br 0.005 0.005 0.000
Br 0.770 0.270 0.500
Cr 0.433 0.433 0.000
Pt 0.292 0.792 0.500

***

c | Compound: CrPtBr2
Source: Alexandria
Functional: PBE
Structure: optimized geometry

magnetic moment	2.00	μB/cell
density of states at the Fermi level	1.17	states/eV/atom

Unit cell a=3.648 b=3.648 c=8.634 alpha=78.68 beta=78.68 gamma=60.02
Atoms (fractional coordinates):
Br 0.962 0.962 0.093
Br 0.791 0.791 0.647
Cr 0.517 0.517 0.456
Pt 0.230 0.230 0.304

***

c takes first place; second place is 290 meV per atom up.

***

a | Compound: CrPtBr2
Source: Alexandria
Functional: PBE
Structure: optimized geometry

magnetic moment	4.00	μB/cell
density of states at the Fermi level	0.44	states/eV/atom

Unit cell a=3.698 b=3.809 c=8.358 alpha=60.15 beta=90.00 gamma=90.00
Atoms (fractional coordinates):
Br 0.000 0.195 0.906
Br 0.500 0.302 0.347
Cr 0.000 0.293 0.584
Pt 0.500 0.710 0.663

***

b | Compound: CrPtBr2
Source: Alexandria
Functional: PBE
Structure: optimized geometry

magnetic moment	3.54	μB/cell
density of states at the Fermi level	1.08	states/eV/atom

Unit cell a=11.947 b=11.947 c=11.947 alpha=14.36 beta=14.36 gamma=14.36
Atoms (fractional coordinates):
Cr 0.000 0.000 0.000
Br 0.933 0.933 0.933
Br 0.067 0.067 0.067
Pt 0.500 0.500 0.500

***

c | Compound: CrPtBr2
Source: Alexandria
Functional: PBE
Structure: optimized geometry

magnetic moment	4.00	μB/cell
density of states at the Fermi level	0.76	states/eV/atom

Unit cell a=7.280 b=7.280 c=4.324 alpha=85.13 beta=85.13 gamma=27.97
Atoms (fractional coordinates):
Br 0.111 0.111 0.953
Br 0.389 0.389 0.547
Cr 0.750 0.750 0.750
Pt 0.250 0.250 0.250

***

c takes first place; second place is 54 meV per atom up.

***

a | Compound: CrPtBr2
Source: Alexandria
Functional: PBE
Structure: optimized geometry

magnetic moment	4.57	μB/cell
density of states at the Fermi level	0.45	states/eV/atom

Unit cell a=3.458 b=6.353 c=4.031 alpha=90.00 beta=90.00 gamma=90.00
Atoms (fractional coordinates):
Br 0.000 0.000 0.000
Br 0.500 0.500 0.000
Cr 0.500 0.000 0.500
Pt 0.000 0.500 0.500

***

b | Compound: CrPtBr2
Source: Alexandria
Functional: PBE
Structure: optimized geometry

magnetic moment	3.97	μB/cell
density of states at the Fermi level	0.44	states/eV/atom

Unit cell a=3.605 b=3.605 c=7.662 alpha=90.00 beta=90.00 gamma=105.55
Atoms (fractional coordinates):
Br 0.000 0.000 0.909
Br 0.500 0.500 0.346
Cr 0.000 0.000 0.539
Pt 0.500 0.500 0.706

***

c | Compound: CrPtBr2
Source: Alexandria
Functional: PBE
Structure: optimized geometry

magnetic moment	2.48	μB/cell
density of states at the Fermi level	0.89	states/eV/atom

Unit cell a=3.185 b=3.185 c=8.700 alpha=90.00 beta=90.00 gamma=90.00
Atoms (fractional coordinates):
Br 0.000 0.000 0.919
Br 0.500 0.500 0.342
Cr 0.000 0.000 0.535
Pt 0.500 0.500 0.704

***

d | Compound: CrPtBr2
Source: Alexandria
Functional: PBE
Structure: optimized geometry

magnetic moment	4.22	μB/cell
density of states at the Fermi level	1.04	states/eV/atom

Unit cell a=4.727 b=4.727 c=3.533 alpha=90.00 beta=90.00 gamma=90.00
Atoms (fractional coordinates):
Br 0.000 0.000 0.000
Br 0.500 0.500 0.000
Cr 0.500 0.000 0.500
Pt 0.000 0.500 0.500

***

b takes first place; second place is 39 meV per atom up.

***

a | Compound: CrPt2Br2
Source: Alexandria
Functional: PBE
Structure: optimized geometry

magnetic moment	3.70	μB/cell
density of states at the Fermi level	1.64	states/eV/atom

Unit cell a=3.526 b=3.526 c=10.854 alpha=80.65 beta=80.65 gamma=90.00
Atoms (fractional coordinates):
Cr 0.000 0.000 0.000
Br 0.424 0.424 0.151
Br 0.576 0.576 0.849
Pt 0.750 0.250 0.500
Pt 0.250 0.750 0.500

***

b | Compound: CrPt2Br2
Source: Alexandria
Functional: PBE
Structure: optimized geometry

magnetic moment	7.23	μB/cell
density of states at the Fermi level	0.42	states/eV/atom

Unit cell a=6.644 b=6.644 c=4.762 alpha=90.00 beta=90.00 gamma=90.00
Atoms (fractional coordinates):
Cr 0.000 0.000 0.000
Cr 0.500 0.500 0.000
Br 0.332 0.832 0.000
Br 0.832 0.668 0.000
Br 0.668 0.168 0.000
Br 0.168 0.332 0.000
Pt 0.259 0.759 0.500
Pt 0.759 0.741 0.500
Pt 0.741 0.241 0.500
Pt 0.241 0.259 0.500

***

a takes first place; second place is 80 meV per atom up.

***

a | Compound: Rb2CrBr5
Source: Alexandria
Functional: PBE
Structure: optimized geometry

magnetic moment	5.96	μB/cell
density of states at the Fermi level	0.26	states/eV/atom

Unit cell a=5.243 b=9.161 c=14.768 alpha=90.00 beta=90.00 gamma=106.63
Atoms (fractional coordinates):
Rb 0.859 0.718 0.429
Rb 0.859 0.718 0.071
Rb 0.141 0.282 0.571
Rb 0.141 0.282 0.929
Cr 0.854 0.709 0.750
Cr 0.146 0.291 0.250
Br 0.954 0.908 0.869
Br 0.954 0.908 0.631
Br 0.249 0.499 0.373
Br 0.249 0.499 0.127
Br 0.668 0.336 0.250
Br 0.332 0.664 0.750
Br 0.751 0.501 0.627
Br 0.751 0.501 0.873
Br 0.046 0.092 0.131
Br 0.046 0.092 0.369

***

b | Compound: Rb2CrBr5
Source: Alexandria
Functional: PBE
Structure: optimized geometry

magnetic moment	11.99	μB/cell

Unit cell a=7.412 b=9.587 c=15.331 alpha=90.00 beta=90.00 gamma=90.00
Atoms (fractional coordinates):
Rb 0.750 0.544 0.302
Rb 0.250 0.456 0.698
Rb 0.250 0.956 0.802
Rb 0.750 0.044 0.198
Rb 0.750 0.817 0.585
Rb 0.250 0.183 0.415
Rb 0.250 0.683 0.085
Rb 0.750 0.317 0.915
Cr 0.750 0.820 0.941
Cr 0.250 0.180 0.059
Cr 0.250 0.680 0.441
Cr 0.750 0.320 0.559
Br 0.750 0.713 0.094
Br 0.250 0.287 0.906
Br 0.250 0.787 0.594
Br 0.750 0.213 0.406
Br 0.510 0.663 0.891
Br 0.490 0.337 0.109
Br 0.490 0.837 0.391
Br 0.010 0.337 0.109
Br 0.510 0.163 0.609
Br 0.990 0.663 0.891
Br 0.990 0.163 0.609
Br 0.010 0.837 0.391
Br 0.500 0.000 0.000
Br 0.500 0.500 0.500
Br 0.000 0.000 0.000
Br 0.000 0.500 0.500
Br 0.750 0.954 0.802
Br 0.250 0.046 0.198
Br 0.250 0.546 0.302
Br 0.750 0.454 0.698

***

b takes first place; second place is 77 meV per atom up.